(1)
Computed, not measured: a relaxed AlCr3Os crystal at the PBE level of DFT.

Structure (extended XYZ):
```
5
Lattice="4.658 0.000 0.000 0.000 4.658 0.000 0.000 0.000 4.658" Properties=species:S:1:pos:R:3 pbc="T T T"
Al 0.000 0.000 0.000
Cr 0.000 2.329 2.329
Cr 2.329 0.000 2.329
Cr 2.329 2.329 0.000
Os 2.329 2.329 2.329
```

Summary:
**Spin magnetization**: 1.73 μB per atom



(2)
Computed, not measured: a relaxed AlCr3Os crystal at the PBE level of DFT.

Structure (extended XYZ):
```
5
Lattice="4.224 0.000 0.000 0.000 4.224 0.000 0.000 0.000 4.224" Properties=species:S:1:pos:R:3 pbc="T T T"
Al 0.000 0.000 0.000
Cr 0.000 0.000 2.112
Cr 0.000 2.112 0.000
Cr 2.112 0.000 0.000
Os 2.112 2.112 2.112
```

Summary:
**Spin magnetization**: 0.56 μB per atom



Stability order, top to bottom: (1), (2)



(1)
Computed, not measured: a relaxed AlCrOs crystal at the PBE level of DFT.

Structure (extended XYZ):
```
3
Lattice="0.000 2.847 2.847 2.847 0.000 2.847 2.847 2.847 0.000" Properties=species:S:1:pos:R:3 pbc="T T T"
Al 0.000 0.000 0.000
Cr 1.424 1.424 1.424
Os 2.847 2.847 2.847
```

Summary:
**Spin magnetization**: 0.13 μB per atom



(2)
Computed, not measured: a relaxed AlCrOs crystal at the PBE level of DFT.

Structure (extended XYZ):
```
3
Lattice="-1.458 1.458 4.647 1.458 -1.458 4.647 1.458 1.458 -4.647" Properties=species:S:1:pos:R:3 pbc="T T T"
Al 0.000 0.000 0.000
Cr 0.000 0.000 3.095
Os 0.000 0.000 6.278
```

Summary:
**Spin magnetization**: 0.00 μB per atom



Stability order, top to bottom: (2), (1)